First-principles (PBE) data for a relaxed Ac2CdPdRh crystal, as listed in Alexandria via LeMat-Bulk.

Results
Calculated formation energy = -0.5750 eV per atom

Cell: 4.5035 7.9951 9.3946 Å, 125.88 90.00 90.00°
Atoms (fractional coordinates):
Cd1 0.2500 0.8302 0.4146
Cd2 0.7500 0.1698 0.5854
Rh1 0.7500 0.1466 0.0737
Rh2 0.2500 0.8534 0.9263
Ac1 0.2500 0.2583 0.3266
Ac2 0.7500 0.7414 0.0675
Ac3 0.7500 0.7417 0.6734
Ac4 0.2500 0.2586 0.9325
Pd1 0.7500 0.5624 0.2815
Pd2 0.2500 0.4376 0.7185

=====

First-principles (PBE) data for a relaxed AcCdPdRh crystal, as listed in Alexandria via LeMat-Bulk.

Results
Calculated formation energy = -0.4402 eV per atom

Cell: 4.9860 4.9860 4.9860 Å, 60.00 60.00 60.00°
Atoms (fractional coordinates):
Pd1 0.7500 0.7500 0.7500
Cd1 0.0000 0.0000 0.0000
Ac1 0.5000 0.5000 0.5000
Rh1 0.2500 0.2500 0.2500

=====

First-principles (PBE) data for a relaxed AcCdSbPd crystal, as listed in Alexandria via LeMat-Bulk.

Results
Uncorrected formation energy = -11.25 kcal/mol of atoms

Cell: 5.2609 5.2609 5.2609 Å, 60.00 60.00 60.00°
Atoms (fractional coordinates):
Cd1 0.7500 0.7500 0.7500
Sb1 0.5000 0.5000 0.5000
Pd1 0.2500 0.2500 0.2500
Ac1 0.0000 0.0000 0.0000

=====

First-principles (PBE) data for a relaxed Ac2CdSb4Pd3 crystal, as listed in Alexandria via LeMat-Bulk.

Results
Uncorrected formation energy = -17.58 kcal/mol of atoms

Cell: 4.7343 4.7343 11.2031 Å, 90.00 90.00 90.00°
Atoms (fractional coordinates):
Sb1 0.5000 0.0000 0.6425
Sb2 0.0000 0.0000 0.0000
Sb3 0.0000 0.5000 0.3575
Sb4 0.5000 0.5000 0.0000
Pd1 0.5000 0.0000 0.8791
Pd2 0.0000 0.5000 0.1209
Pd3 0.0000 0.0000 0.5000
Ac1 0.5000 0.0000 0.2456
Ac2 0.0000 0.5000 0.7544
Cd1 0.5000 0.5000 0.5000

=====

First-principles (PBE) data for a relaxed AcCdSbPd3 crystal, as listed in Alexandria via LeMat-Bulk.

Results
Uncorrected formation energy = -10.99 kcal/mol of atoms

Cell: 6.0663 5.8264 9.1703 Å, 108.52 90.00 90.00°
Atoms (fractional coordinates):
Ac1 0.2500 0.7016 0.4033
Ac2 0.7500 0.2984 0.5967
Pd1 0.5000 0.2578 0.0000
Pd2 0.7500 0.7597 0.5194
Pd3 0.0000 0.2578 0.0000
Pd4 0.0000 0.7422 0.0000
Pd5 0.2500 0.2403 0.4806
Pd6 0.5000 0.7422 0.0000
Sb1 0.7500 0.9113 0.8225
Sb2 0.2500 0.0887 0.1775
Cd1 0.7500 0.6056 0.2111
Cd2 0.2500 0.3944 0.7889

=====

First-principles (PBE) data for a relaxed AcCdSb2Pd5 crystal, as listed in Alexandria via LeMat-Bulk.

Results
Uncorrected formation energy = -10.12 kcal/mol of atoms

Cell: 4.9139 4.9139 8.2790 Å, 90.00 90.00 90.00°
Atoms (fractional coordinates):
Sb1 0.5000 0.5000 0.1715
Sb2 0.5000 0.5000 0.8285
Cd1 0.0000 0.0000 0.0000
Pd1 0.0000 0.5000 0.7256
Pd2 0.5000 0.0000 0.7256
Pd3 0.5000 0.0000 0.2744
Pd4 0.5000 0.5000 0.5000
Pd5 0.0000 0.5000 0.2744
Ac1 0.0000 0.0000 0.5000

=====

Number 1: theoretical density 9.4 g/cm³. Number 2: theoretical density 10.4 g/cm³. Number 3: theoretical density 9.2 g/cm³. Number 4: theoretical density 9.1 g/cm³. Number 5: theoretical density 8.4 g/cm³. Number 6: theoretical density 9.3 g/cm³.